Material: Tb5DyEr3
Method: DFT, PBE
State: optimized geometry

abc: 9.430 9.430 11.522
angles: 52.89 52.89 74.42
Positions (direct):
Tb 0.851 0.347 0.253
Tb 0.257 0.743 0.000
Tb 0.818 0.818 0.959
Tb 0.490 0.490 0.235
Tb 0.510 0.510 0.765
Tb 0.182 0.182 0.041
Tb 0.347 0.851 0.253
Tb 0.743 0.257 0.000
Tb 0.149 0.653 0.747
Tb 0.653 0.149 0.747
Dy 0.151 0.151 0.596
Dy 0.849 0.849 0.404
Er 0.689 0.689 0.821
Er 0.660 0.660 0.358
Er 0.000 0.000 0.000
Er 0.000 0.000 0.500
Er 0.311 0.311 0.179
Er 0.340 0.340 0.642

Results
E_tot = -73.6 eV per cell